Entry 1:
YTmAlCu | PBE | relaxed

Calculated values
The calculated volume comes out at 22.281 A^3/atom. As for the symmetry: F-43m (216). The value obtained for the formation enthalpy at 0 K is -29.3 kJ/mol of atoms. The energy relative to the lowest polymorph listed for this composition is 35 meV/atom. As for the total magnetization: 0.00 μB per formula unit.

POSCAR file:
```
YTmAlCu
1.0
0.000 3.545 3.545
3.545 0.000 3.545
3.545 3.545 0.000
Y Tm Al Cu
1 1 1 1
direct
0.000 0.000 0.000
0.500 0.500 0.500
0.750 0.750 0.750
0.250 0.250 0.250
```

***

Entry 2:
TmAl2Zn8Cu | PBE | relaxed

Calculated values
The calculated volume comes out at 16.816 A^3/atom. As for the symmetry: C2/m (12). The value obtained for the formation enthalpy at 0 K is -5.1 kJ/mol of atoms. As for the total magnetization: 0.00 μB per formula unit.

POSCAR file:
```
TmAl2Zn8Cu
1.0
3.973 -2.512 0.000
3.973 2.512 0.000
-0.817 0.000 10.108
Tm Al Zn Cu
1 2 8 1
direct
0.000 0.000 0.000
0.334 0.334 0.164
0.666 0.666 0.836
0.166 0.675 0.695
0.321 0.321 0.891
0.325 0.834 0.305
0.331 0.331 0.463
0.669 0.669 0.537
0.675 0.166 0.695
0.679 0.679 0.109
0.834 0.325 0.305
0.000 0.000 0.500
```

***

Entry 3:
Tm4AlZn2Cu | PBE | relaxed

Calculated values
The calculated volume comes out at 21.559 A^3/atom. As for the symmetry: R-3m (166). The value obtained for the formation enthalpy at 0 K is -33.0 kJ/mol of atoms. As for the total magnetization: 0.00 μB per formula unit.

POSCAR file:
```
Tm4AlZn2Cu
1.0
2.481 1.433 8.086
-2.481 1.433 8.086
0.000 -2.865 8.086
Tm Al Zn Cu
4 1 2 1
direct
0.122 0.122 0.122
0.372 0.372 0.372
0.628 0.628 0.628
0.878 0.878 0.878
0.500 0.500 0.500
0.247 0.247 0.247
0.753 0.753 0.753
0.000 0.000 0.000
```

***

Entry 4:
Tm2AlZn4Cu3 | PBE | relaxed

Calculated values
The calculated volume comes out at 17.067 A^3/atom. As for the symmetry: P-4m2 (115). The value obtained for the formation enthalpy at 0 K is -27.3 kJ/mol of atoms. As for the total magnetization: 0.00 μB per formula unit.

POSCAR file:
```
Tm2AlZn4Cu3
1.0
3.905 0.000 0.000
0.000 3.905 0.000
0.000 0.000 11.190
Tm Al Zn Cu
2 1 4 3
direct
0.000 0.500 0.244
0.500 0.000 0.756
0.000 0.000 0.500
0.000 0.000 0.000
0.000 0.500 0.645
0.500 0.000 0.355
0.500 0.500 0.000
0.000 0.500 0.859
0.500 0.000 0.141
0.500 0.500 0.500
```

***

Entry 5:
Tm4AlZnCu2 | PBE | relaxed

Calculated values
The calculated volume comes out at 21.262 A^3/atom. As for the symmetry: R-3m (166). The value obtained for the formation enthalpy at 0 K is -29.9 kJ/mol of atoms. As for the total magnetization: 0.00 μB per formula unit.

POSCAR file:
```
Tm4AlZnCu2
1.0
2.470 1.426 8.052
-2.470 1.426 8.052
0.000 -2.852 8.052
Tm Al Zn Cu
4 1 1 2
direct
0.123 0.123 0.123
0.373 0.373 0.373
0.627 0.627 0.627
0.877 0.877 0.877
0.500 0.500 0.500
0.000 0.000 0.000
0.247 0.247 0.247
0.753 0.753 0.753
```

***

Entry 6:
TmAlZn6Cu | PBE | relaxed

Calculated values
The calculated volume comes out at 17.876 A^3/atom. As for the symmetry: Imma (74). The value obtained for the formation enthalpy at 0 K is 1.7 kJ/mol of atoms. As for the total magnetization: 0.00 μB per formula unit.

POSCAR file:
```
TmAlZn6Cu
1.0
-3.372 4.427 5.388
3.372 -4.427 5.388
3.372 4.427 -5.388
Tm Al Zn Cu
2 2 12 2
direct
0.451 0.201 0.250
0.549 0.799 0.750
0.000 0.000 0.500
0.000 0.500 0.000
0.140 0.435 0.322
0.140 0.818 0.705
0.176 0.926 0.250
0.239 0.489 0.750
0.387 0.182 0.822
0.387 0.565 0.205
0.613 0.435 0.795
0.613 0.818 0.178
0.761 0.511 0.250
0.824 0.074 0.750
0.860 0.182 0.295
0.860 0.565 0.678
0.000 0.000 0.000
0.500 0.000 0.500
```

***

Entry 7:
TmAlZn2Cu4 | PBE | relaxed

Calculated values
The calculated volume comes out at 15.212 A^3/atom. As for the symmetry: R-3m (166). The value obtained for the formation enthalpy at 0 K is -17.3 kJ/mol of atoms. As for the total magnetization: 0.00 μB per formula unit.

POSCAR file:
```
TmAlZn2Cu4
1.0
2.103 1.214 7.943
-2.103 1.214 7.943
0.000 -2.428 7.943
Tm Al Zn Cu
1 1 2 4
direct
0.000 0.000 0.000
0.500 0.500 0.500
0.245 0.245 0.245
0.755 0.755 0.755
0.129 0.129 0.129
0.398 0.398 0.398
0.602 0.602 0.602
0.871 0.871 0.871
```

***

Entry 8:
TmAl3ZnCu | PBE | relaxed

Calculated values
The calculated volume comes out at 18.085 A^3/atom. As for the symmetry: Cmcm (63). The value obtained for the formation enthalpy at 0 K is -11.3 kJ/mol of atoms. As for the total magnetization: 0.00 μB per formula unit.

POSCAR file:
```
TmAl3ZnCu
1.0
3.044 -6.311 0.000
3.044 6.311 0.000
0.000 0.000 5.648
Tm Al Zn Cu
2 6 2 2
direct
0.205 0.795 0.750
0.795 0.205 0.250
0.212 0.212 0.000
0.212 0.212 0.500
0.362 0.638 0.250
0.638 0.362 0.750
0.788 0.788 0.000
0.788 0.788 0.500
0.155 0.845 0.250
0.845 0.155 0.750
0.418 0.582 0.750
0.582 0.418 0.250
```

***

Q: The lowest calculated volume belongs to which entry?
A: TmAlZn2Cu4